Below is an optimized crystal structure of CsCr2AgI8, with properties calculated at the PBE level.

Space group: R-3 (148)
Formation energy without anion corrections in eV/atom: -0.42
Final energy in eV per atom: -3.371

a b c (Å): 7.4734 7.4734 11.4340
angles (deg): 70.92 70.92 60.00
Last column: magnetic moment on the atom in μB.
Fractional coordinates of all 12 atoms:
I 0.8267 0.8267 0.5199  -0.06
I 0.6143 0.2664 0.1719  -0.07
I 0.7336 0.0526 0.8281  -0.07
I 0.9474 0.6143 0.1719  -0.07
I 0.3857 0.7336 0.8281  -0.07
I 0.2664 0.9474 0.1719  -0.07
I 0.1733 0.1733 0.4801  -0.06
I 0.0526 0.3857 0.8281  -0.07
Cr 0.7458 0.7458 0.7625  3.02
Cr 0.2542 0.2542 0.2375  3.02
Ag 0.0000 0.0000 0.0000  -0.03
Cs 0.5000 0.5000 0.5000  0.00

---

Below is an optimized crystal structure of Cs2CrAgI6, with properties calculated at the PBE level.

Space group: Fm-3m (225)
Formation energy without anion corrections in eV/atom: -0.79
Final energy in eV per atom: -3.141

a b c (Å): 8.2585 8.2585 8.2575
angles (deg): 60.00 60.00 90.00
Last column: magnetic moment on the atom in μB.
Fractional coordinates of all 10 atoms:
Cs 0.7500 0.2500 0.5000  0.00
Cs 0.2500 0.7500 0.5000  0.00
I 0.2612 0.7388 0.0000  -0.04
I 0.7388 0.2612 0.0000  -0.04
I 0.7388 0.7388 0.0000  -0.04
I 0.2611 0.2611 0.4778  -0.04
I 0.2612 0.2612 0.0000  -0.04
I 0.7389 0.7389 0.5222  -0.04
Ag 0.0000 0.0000 0.0000  -0.04
Cr 0.5000 0.5000 0.0000  3.10